A plane-wave DFT calculation with PBE was carried out for an optimized crystal structure of PrYTlRu.

Space-group type: F-43m, No. 216
Spin magnetization (μB per formula unit): 0.00
Electronic total energy (eV per cell): -23.596

Lattice parameters (Å, degrees): 5.1955 5.1955 5.1955 60.00 60.00 60.00
Sites, in units of the cell vectors:
Pr: 0.0000 0.0000 0.0000
Y: 0.5000 0.5000 0.5000
Tl: 0.2500 0.2500 0.2500
Ru: 0.7500 0.7500 0.7500

***

A plane-wave DFT calculation with PBE was carried out for an optimized crystal structure of Pr2TmRu.

Space-group type: R-3m, No. 166
Spin magnetization (μB per formula unit): 0.00
Electronic total energy (eV per cell): -22.340

Lattice parameters (Å, degrees): 10.9087 10.9087 10.9087 19.06 19.06 19.06
Sites, in units of the cell vectors:
Pr: 0.1057 0.1057 0.1057
Pr: 0.8943 0.8943 0.8943
Tm: 0.0000 0.0000 0.0000
Ru: 0.5000 0.5000 0.5000

***

A plane-wave DFT calculation with PBE was carried out for an optimized crystal structure of Pr2TmRu.

Space-group type: Pnma, No. 62
Spin magnetization (μB per formula unit): 0.00
Electronic total energy (eV per cell): -96.662

Lattice parameters (Å, degrees): 7.3748 9.7102 6.3878 90.00 90.00 90.00
Sites, in units of the cell vectors:
Pr: 0.1775 0.0653 0.1708
Pr: 0.1775 0.4347 0.1708
Pr: 0.3225 0.5653 0.6708
Pr: 0.3225 0.9347 0.6708
Pr: 0.6775 0.0653 0.3292
Pr: 0.6775 0.4347 0.3292
Pr: 0.8225 0.5653 0.8292
Pr: 0.8225 0.9347 0.8292
Tm: 0.0451 0.2500 0.6479
Tm: 0.4549 0.7500 0.1479
Tm: 0.5451 0.2500 0.8521
Tm: 0.9549 0.7500 0.3521
Ru: 0.1160 0.7500 0.9640
Ru: 0.3840 0.2500 0.4640
Ru: 0.6160 0.7500 0.5360
Ru: 0.8840 0.2500 0.0360

***

A plane-wave DFT calculation with PBE was carried out for an optimized crystal structure of PrTm3Ru.

Space-group type: C2/m, No. 12
Spin magnetization (μB per formula unit): 0.00
Electronic total energy (eV per cell): -56.958

Lattice parameters (Å, degrees): 7.1888 7.1888 8.0372 122.95 122.95 71.67
Sites, in units of the cell vectors:
Pr: 0.0523 0.0523 0.3320
Pr: 0.9477 0.9477 0.6680
Tm: 0.0626 0.4614 0.2141
Tm: 0.4433 0.4433 0.7451
Tm: 0.4614 0.0626 0.2141
Tm: 0.5386 0.9374 0.7859
Tm: 0.5567 0.5567 0.2549
Tm: 0.9374 0.5386 0.7859
Ru: 0.2568 0.2568 0.9011
Ru: 0.7432 0.7432 0.0989

***

A plane-wave DFT calculation with PBE was carried out for an optimized crystal structure of PrTm3Ru2.

Space-group type: P4/mmm, No. 123
Spin magnetization (μB per formula unit): 0.00
Electronic total energy (eV per cell): -38.855

Lattice parameters (Å, degrees): 3.3981 3.3981 12.3313 90.00 90.00 90.00
Sites, in units of the cell vectors:
Pr: 0.0000 0.0000 0.0000
Tm: 0.5000 0.5000 0.2340
Tm: 0.5000 0.5000 0.5000
Tm: 0.5000 0.5000 0.7660
Ru: 0.0000 0.0000 0.3590
Ru: 0.0000 0.0000 0.6410

***

A plane-wave DFT calculation with PBE was carried out for an optimized crystal structure of PrTm5Ru4.

Space-group type: P4/mmm, No. 123
Spin magnetization (μB per formula unit): 0.00
Electronic total energy (eV per cell): -67.915

Lattice parameters (Å, degrees): 3.3747 3.3747 19.1188 90.00 90.00 90.00
Sites, in units of the cell vectors:
Pr: 0.0000 0.0000 0.0000
Tm: 0.5000 0.5000 0.1526
Tm: 0.5000 0.5000 0.3259
Tm: 0.5000 0.5000 0.5000
Tm: 0.5000 0.5000 0.6741
Tm: 0.5000 0.5000 0.8474
Ru: 0.0000 0.0000 0.2331
Ru: 0.0000 0.0000 0.4120
Ru: 0.0000 0.0000 0.5880
Ru: 0.0000 0.0000 0.7669

***

Number 1: formation energy -68.5 kJ/mol of formula units. Number 2: formation energy 93.2 kJ/mol of formula units. Number 3: formation energy -82.9 kJ/mol of formula units. Number 4: formation energy -97.4 kJ/mol of formula units. Number 5: formation energy -203.5 kJ/mol of formula units. Number 6: formation energy -354.5 kJ/mol of formula units.